# SrBe2Rh

A crystal of SrBe2Rh relaxed with PBEsol (SCAN, Alexandria via LeMat-Bulk).

- Calculated volume: 15.2 Å³/atom
- Energy above the lowest structure with this stoichiometry: 242 meV per atom
- N(E_F): 2.59 states/eV/cell
- DFT formation energy: -0.1033 eV per atom

a b c (Å): 2.9775 2.9775 6.8637
angles (deg): 90.00 90.00 90.00
Closest atoms and distances in Å follow each position.
Atoms (fractional coordinates):
Sr 0.0000 0.0000 0.0000  4 Sr 2.98, 8 Be 3.15
Be 0.5000 0.5000 0.3407  1 Be 2.19, 4 Rh 2.37
Be 0.5000 0.5000 0.6593  1 Be 2.19, 4 Rh 2.37
Rh 0.0000 0.0000 0.5000  8 Be 2.37